# 1
VASP calculation (PBE) on a relaxed NbTeH2 crystal.

Output
E	-4.12	eV per atom
magnetic moment	4.7	Bohr magnetons per cell

Unit cell a=5.8883 b=5.8883 c=5.8883 alpha=90.00 beta=90.00 gamma=90.00
Space group Fm-3m (No. 225)
Unique sites:
Nb: 0.0000 0.0000 0.0000 [4 per cell]
Te: 0.0000 0.0000 0.5000 [4 per cell]
H: 0.2500 0.2500 0.2500 [8 per cell]

# 2
VASP calculation (PBE) on a relaxed NbTe2H crystal.

Output
E	-4.52	eV per atom
magnetic moment	4.5	Bohr magnetons per cell

Unit cell a=6.8124 b=6.8124 c=6.8124 alpha=90.00 beta=90.00 gamma=90.00
Space group Fm-3m (No. 225)
Unique sites:
Nb: 0.0000 0.0000 0.0000 [4 per cell]
Te: 0.2500 0.2500 0.2500 [8 per cell]
H: 0.0000 0.0000 0.5000 [4 per cell]

# 3
VASP calculation (PBE) on a relaxed NbTeH crystal.

Output
E	-5.57	eV per atom
magnetic moment	0.0	Bohr magnetons per cell

Unit cell a=3.3832 b=3.3832 c=13.8382 alpha=90.00 beta=90.00 gamma=120.00
Space group R3m (No. 160, hexagonal axes)
Unique sites:
Nb: 0.0000 0.0000 0.0000 [3 per cell]
Te: 0.0000 0.0000 0.4810 [3 per cell]
H: 0.0000 0.0000 0.2941 [3 per cell]

# 4
VASP calculation (PBE) on a relaxed NbTeH3 crystal.

Output
E	-3.41	eV per atom
magnetic moment	0.0	Bohr magnetons per cell

Unit cell a=3.8611 b=3.8611 c=3.8611 alpha=90.00 beta=90.00 gamma=90.00
Space group Pm-3m (No. 221)
Unique sites:
Nb: 0.0000 0.0000 0.0000 [1 per cell]
Te: 0.5000 0.5000 0.5000 [1 per cell]
H: 0.0000 0.5000 0.5000 [3 per cell]

# 5
VASP calculation (PBE) on a relaxed Nb3TeH crystal.

Output
E	-5.19	eV per atom
magnetic moment	0.2	Bohr magnetons per cell

Unit cell a=5.0781 b=5.0781 c=5.0781 alpha=90.00 beta=90.00 gamma=90.00
Space group Pm-3m (No. 221)
Unique sites:
Nb: 0.0000 0.0000 0.5000 [3 per cell]
Te: 0.0000 0.0000 0.0000 [1 per cell]
H: 0.5000 0.5000 0.5000 [1 per cell]

# 6
VASP calculation (PBE) on a relaxed NbTeH3 crystal.

Output
E	-4.36	eV per atom
magnetic moment	0.0	Bohr magnetons per cell

Unit cell a=3.8055 b=3.8055 c=3.8055 alpha=90.00 beta=90.00 gamma=90.00
Space group Pm-3m (No. 221)
Unique sites:
Nb: 0.0000 0.0000 0.0000 [1 per cell]
Te: 0.5000 0.5000 0.5000 [1 per cell]
H: 0.0000 0.0000 0.5000 [3 per cell]